1.
CoReIr4 | SCAN | single point on PBEsol structure

POSCAR file:
```
CoReIr4
1.0
0.000 3.551 3.551
3.551 0.000 3.551
3.551 3.551 0.000
Co Re Ir
1 1 4
Direct
0.000 0.000 0.000
0.750 0.750 0.750
0.375 0.375 0.375
0.375 0.375 0.876
0.375 0.876 0.375
0.876 0.375 0.375
```

Summary:
Fermi-level density of states   5.01 states/eV per cell
Energy relative to the elements   61 kJ per mole of atoms
Space group   F-43m (216)

2.
Co2ReIr | SCAN | single point on PBEsol structure

POSCAR file:
```
Co2ReIr
1.0
2.710 0.000 0.000
0.000 4.415 0.000
0.000 0.000 8.559
Co Re Ir
4 2 2
Direct
0.000 0.000 0.245
0.000 0.000 0.755
0.500 0.500 0.255
0.500 0.500 0.745
0.000 0.500 0.500
0.500 0.000 0.000
0.000 0.500 0.000
0.500 0.000 0.500
```

Summary:
Fermi-level density of states   7.89 states/eV per cell
Energy relative to the elements   19 kJ per mole of atoms
Space group   Immm (71)

3.
CoReIr2 | SCAN | single point on PBEsol structure

POSCAR file:
```
CoReIr2
1.0
2.683 0.000 0.000
0.000 3.738 0.000
0.000 0.000 5.303
Co Re Ir
1 1 2
Direct
0.000 0.000 0.000
0.000 0.000 0.500
0.500 0.500 0.243
0.500 0.500 0.757
```

Summary:
Fermi-level density of states   3.15 states/eV per cell
Energy relative to the elements   -12 kJ per mole of atoms
Space group   Pmmm (47)

4.
CoRe2Ir | SCAN | single point on PBEsol structure

POSCAR file:
```
CoRe2Ir
1.0
2.672 0.000 0.000
0.000 4.246 0.000
0.000 0.000 4.692
Co Re Ir
1 2 1
Direct
0.000 0.000 0.000
0.500 0.000 0.487
0.500 0.500 0.155
0.000 0.500 0.674
```

Summary:
Fermi-level density of states   2.12 states/eV per cell
Energy relative to the elements   -15 kJ per mole of atoms
Space group   Pmm2 (25)

5.
CoReIr2 | SCAN | single point on PBEsol structure

POSCAR file:
```
CoReIr2
1.0
2.703 0.000 0.000
0.000 4.229 0.000
0.000 0.000 4.666
Co Re Ir
1 1 2
Direct
0.000 0.000 0.000
0.000 0.500 0.324
0.500 0.000 0.501
0.500 0.500 0.847
```

Summary:
Fermi-level density of states   3.06 states/eV per cell
Energy relative to the elements   -12 kJ per mole of atoms
Space group   Pmm2 (25)

6.
CoReIr2 | SCAN | single point on PBEsol structure

POSCAR file:
```
CoReIr2
1.0
3.779 0.000 0.000
0.000 3.779 0.000
0.000 0.000 7.422
Co Re Ir
2 2 4
Direct
0.000 0.000 0.000
0.500 0.500 0.500
0.000 0.000 0.500
0.500 0.500 0.000
0.000 0.500 0.250
0.000 0.500 0.750
0.500 0.000 0.250
0.500 0.000 0.750
```

Summary:
Fermi-level density of states   5.49 states/eV per cell
Energy relative to the elements   -11 kJ per mole of atoms
Space group   I4/mmm (139)

7.
CoReIr2 | SCAN | single point on PBEsol structure

POSCAR file:
```
CoReIr2
1.0
6.015 0.000 0.000
0.000 6.015 0.000
0.000 0.000 6.015
Co Re Ir
4 4 8
Direct
0.000 0.000 0.000
0.000 0.500 0.500
0.500 0.000 0.500
0.500 0.500 0.000
0.000 0.000 0.500
0.000 0.500 0.000
0.500 0.000 0.000
0.500 0.500 0.500
0.250 0.250 0.250
0.250 0.250 0.750
0.250 0.750 0.250
0.250 0.750 0.750
0.750 0.250 0.250
0.750 0.250 0.750
0.750 0.750 0.250
0.750 0.750 0.750
```

Summary:
Fermi-level density of states   18.24 states/eV per cell
Energy relative to the elements   39 kJ per mole of atoms
Space group   Fm-3m (225)

8.
CoReIr2 | SCAN | single point on PBEsol structure

POSCAR file:
```
CoReIr2
1.0
2.700 0.000 0.000
0.000 2.700 0.000
0.000 0.000 7.318
Co Re Ir
1 1 2
Direct
0.000 0.000 0.000
0.000 0.000 0.500
0.500 0.500 0.241
0.500 0.500 0.759
```

Summary:
Fermi-level density of states   3.68 states/eV per cell
Energy relative to the elements   -9 kJ per mole of atoms
Space group   P4/mmm (123)

9.
CoReIr2 | SCAN | single point on PBEsol structure

POSCAR file:
```
CoReIr2
1.0
5.318 0.000 0.000
0.000 7.484 0.000
0.000 0.000 2.676
Co Re Ir
2 2 4
Direct
0.000 0.000 0.000
0.500 0.500 0.000
0.000 0.500 0.000
0.500 0.000 0.000
0.250 0.250 0.500
0.250 0.750 0.500
0.750 0.250 0.500
0.750 0.750 0.500
```

Summary:
Fermi-level density of states   8.83 states/eV per cell
Energy relative to the elements   -2 kJ per mole of atoms
Space group   Cmmm (65)

10.
Co2ReIr | SCAN | single point on PBEsol structure

POSCAR file:
```
Co2ReIr
1.0
3.643 0.000 0.000
0.000 3.643 0.000
0.000 0.000 7.362
Co Re Ir
4 2 2
Direct
0.000 0.000 0.000
0.000 0.500 0.250
0.500 0.000 0.750
0.500 0.500 0.500
0.000 0.500 0.750
0.500 0.000 0.250
0.000 0.000 0.500
0.500 0.500 0.000
```

Summary:
Fermi-level density of states   4.50 states/eV per cell
Energy relative to the elements   -2 kJ per mole of atoms
Space group   I-4m2 (119)

11.
Co3ReIr | SCAN | single point on PBEsol structure

POSCAR file:
```
Co3ReIr
1.0
4.282 0.000 0.000
0.000 4.282 0.000
0.000 0.000 4.282
Co Re Ir
3 1 1
Direct
0.000 0.000 0.500
0.000 0.500 0.000
0.500 0.000 0.000
0.000 0.000 0.000
0.500 0.500 0.500
```

Summary:
Fermi-level density of states   4.24 states/eV per cell
Energy relative to the elements   191 kJ per mole of atoms
Space group   Pm-3m (221)

12.
CoIrRh2 | SCAN | single point on PBEsol structure

POSCAR file:
```
CoIrRh2
1.0
2.653 0.000 0.000
-1.327 2.298 0.000
0.000 0.000 25.469
Co Ir Rh
3 3 6
Direct
0.000 0.000 0.000
0.333 0.667 0.667
0.667 0.333 0.333
0.000 0.000 0.253
0.333 0.667 0.920
0.667 0.333 0.587
0.000 0.000 0.500
0.000 0.000 0.746
0.333 0.667 0.166
0.333 0.667 0.413
0.667 0.333 0.080
0.667 0.333 0.833
```

Summary:
Fermi-level density of states   12.50 states/eV per cell
Energy relative to the elements   2 kJ per mole of atoms
Space group   R3m (160)

> What is the formula in the second record?

Co2ReIr

> Which formula does entry 12 have?

CoIrRh2

Repeat the twelfth record exactly.
CoIrRh2 | SCAN | single point on PBEsol structure

POSCAR file:
```
CoIrRh2
1.0
2.653 0.000 0.000
-1.327 2.298 0.000
0.000 0.000 25.469
Co Ir Rh
3 3 6
Direct
0.000 0.000 0.000
0.333 0.667 0.667
0.667 0.333 0.333
0.000 0.000 0.253
0.333 0.667 0.920
0.667 0.333 0.587
0.000 0.000 0.500
0.000 0.000 0.746
0.333 0.667 0.166
0.333 0.667 0.413
0.667 0.333 0.080
0.667 0.333 0.833
```

Summary:
Fermi-level density of states   12.50 states/eV per cell
Energy relative to the elements   2 kJ per mole of atoms
Space group   R3m (160)

> The highest energy relative to the elements belongs to which entry?

Co3ReIr